No. 1
This record from the Alexandria database describes an optimized crystal structure of MgPWCl2. The functional is GGA-PBEsol.

Summary:
- SG: P4/mmm (123)
- Formation energy from raw total energies: 0.0827 eV per atom

a b c (Å): 4.7001 4.7001 4.8153
angles (deg): 90.00 90.00 90.00
Closest atoms and distances in Å follow each position.
Sites, in units of the cell vectors:
Mg1 0.0000 0.0000 0.0000  4 P 3.32, 8 Cl 3.36
P1 0.5000 0.5000 0.0000  2 W 2.41
W1 0.5000 0.5000 0.5000  4 Cl 2.35, 2 P 2.41
Cl1 0.0000 0.5000 0.5000  2 W 2.35
Cl2 0.5000 0.0000 0.5000  2 W 2.35

=====

No. 2
This record from the Alexandria database describes an optimized crystal structure of K2SrAu. The functional is GGA-PBEsol.

Summary:
- Excess energy over the best structure of this formula in the dataset: 0.087 eV/atom
- ΔH_f (0 K): -0.0034 eV per atom
- SG: I4/mmm (139)

a b c (Å): 7.2107 7.2107 7.2107
angles (deg): 140.86 140.86 56.55
Closest atoms and distances in Å follow each position.
Sites, in units of the cell vectors:
K1 0.2500 0.7500 0.5000  4 K 3.42
K2 0.7500 0.2500 0.5000  4 K 3.42
Sr1 0.0000 0.0000 0.0000  4 Au 3.42
Au1 0.5000 0.5000 0.0000  4 Sr 3.42

=====

No. 3
This record from the Alexandria database describes an optimized crystal structure of Nd2MgGe2. The functional is GGA-PBEsol.

Summary:
- ΔH_f (0 K): -0.8068 eV per atom
- SG: P4/mbm (127)

a b c (Å): 7.3954 7.3954 4.3254
angles (deg): 90.00 90.00 90.00
Closest atoms and distances in Å follow each position.
Sites, in units of the cell vectors:
Nd1 0.1785 0.3215 0.0000  6 Ge 3.01-3.12
Nd2 0.3215 0.8215 0.0000  6 Ge 3.01-3.12
Nd3 0.6785 0.1785 0.0000  6 Ge 3.01-3.12
Nd4 0.8215 0.6785 0.0000  6 Ge 3.01-3.12
Mg1 0.0000 0.0000 0.5000  4 Ge 2.94
Mg2 0.5000 0.5000 0.5000  4 Ge 2.94
Ge1 0.1207 0.6207 0.5000  1 Ge 2.52
Ge2 0.3793 0.1207 0.5000  1 Ge 2.52
Ge3 0.6207 0.8793 0.5000  1 Ge 2.52
Ge4 0.8793 0.3793 0.5000  1 Ge 2.52

=====

No. 4
This record from the Alexandria database describes an optimized crystal structure of ZnCd2Ir. The functional is GGA-PBEsol.

Summary:
- ΔH_f (0 K): 0.0488 eV per atom
- SG: Amm2 (38)

a b c (Å): 4.2837 5.4477 5.4477
angles (deg): 32.16 90.00 90.00
Closest atoms and distances in Å follow each position.
Sites, in units of the cell vectors:
Zn1 0.0000 0.0000 0.0000  2 Ir 2.51
Cd1 0.0000 0.7282 0.7282  3 Zn 2.83-2.85, 4 Ir 2.84, 6 Cd 3.02-3.13
Cd2 0.5000 0.3916 0.3916  3 Ir 2.80-2.87, 4 Zn 2.86, 6 Cd 3.02-3.13
Ir1 0.5000 0.1242 0.1242  2 Zn 2.51, 1 Cd 2.80

=====

No. 5
This record from the Alexandria database describes an optimized crystal structure of CaFe2Se. The functional is GGA-PBEsol.

Summary:
- Excess energy over the best structure of this formula in the dataset: 0.000 eV/atom
- SG: R-3m (166)
- Formation energy from raw total energies: -0.0976 eV per atom

a b c (Å): 5.5960 5.5960 5.5960
angles (deg): 42.73 42.73 42.73
Closest atoms and distances in Å follow each position.
Sites, in units of the cell vectors:
Ca1 0.0000 0.0000 0.0000  2 Fe 2.79
Fe1 0.1829 0.1829 0.1829  3 Se 2.37, 3 Fe 2.41
Fe2 0.8171 0.8171 0.8171  3 Se 2.37, 3 Fe 2.41
Se1 0.5000 0.5000 0.5000  6 Fe 2.37

=====

No. 6
This record from the Alexandria database describes an optimized crystal structure of AlTlSi3O8. The functional is GGA-PBEsol.

Summary:
- SG: P-1 (2)
- Formation energy from raw total energies: -2.6472 eV per atom

a b c (Å): 7.2923 7.7156 8.0306
angles (deg): 111.98 104.93 103.65
Closest atoms and distances in Å follow each position.
Sites, in units of the cell vectors:
Al1 0.2157 0.3216 0.2005  4 O 1.75-1.76
Al2 0.7843 0.6784 0.7995  4 O 1.75-1.76
Tl1 0.1460 0.7979 0.2717  7 O 2.90-3.02
Tl2 0.8540 0.2021 0.7283  7 O 2.90-3.02
Si1 0.2340 0.6944 0.8251  4 O 1.61-1.64
Si2 0.3368 0.0993 0.8393  4 O 1.60-1.64
Si3 0.3509 0.3289 0.5960  4 O 1.61-1.65
Si4 0.6491 0.6711 0.4040  4 O 1.61-1.65
Si5 0.6632 0.9007 0.1607  4 O 1.60-1.64
Si6 0.7660 0.3056 0.1749  4 O 1.61-1.64
O1 0.0202 0.6480 0.8533  1 Si 1.61, 1 Al 1.76
O2 0.2141 0.1706 0.9745  1 Si 1.60, 1 Al 1.75
O3 0.2403 0.4860 0.6780  2 Si 1.62-1.64
O4 0.2559 0.2184 0.3610  1 Si 1.62, 1 Al 1.75
O5 0.2719 0.8546 0.7381  2 Si 1.64
O6 0.2813 0.1481 0.6556  2 Si 1.63-1.65
O7 0.4038 0.5625 0.3072  1 Si 1.61, 1 Al 1.75
O8 0.4149 0.7925 0.0416  2 Si 1.64
O9 0.5851 0.2075 0.9584  2 Si 1.64
O10 0.5962 0.4375 0.6928  1 Si 1.61, 1 Al 1.75
O11 0.7187 0.8519 0.3444  2 Si 1.63-1.65
O12 0.7281 0.1454 0.2619  2 Si 1.64
O13 0.7441 0.7816 0.6390  1 Si 1.62, 1 Al 1.75
O14 0.7597 0.5140 0.3220  2 Si 1.62-1.64
O15 0.7859 0.8294 0.0255  1 Si 1.60, 1 Al 1.75
O16 0.9798 0.3520 0.1467  1 Si 1.61, 1 Al 1.76

=====

No. 7
This record from the Alexandria database describes an optimized crystal structure of MnAgSb2. The functional is GGA-PBEsol.

Summary:
- SG: Imm2 (44)
- Formation energy from raw total energies: 0.1979 eV per atom

a b c (Å): 6.9359 6.9359 6.9359
angles (deg): 154.43 144.99 43.85
Closest atoms and distances in Å follow each position.
Sites, in units of the cell vectors:
Mn1 0.0000 0.0000 0.0000  6 Sb 2.66-2.75
Ag1 0.2049 0.7049 0.5000  6 Sb 2.91-3.00, 2 Mn 3.05, 2 Ag 3.07
Sb1 0.5475 0.5475 0.0000  4 Mn 2.66, 2 Ag 2.91
Sb2 0.8230 0.3230 0.5000  2 Mn 2.75, 4 Ag 3.00, 2 Sb 3.07

=====

No. 8
This record from the Alexandria database describes an optimized crystal structure of ReSbCl2. The functional is GGA-PBEsol.

Summary:
- Excess energy over the best structure of this formula in the dataset: 0.863 eV/atom
- SG: P4/mmm (123)
- Formation energy from raw total energies: 1.0910 eV per atom

a b c (Å): 4.2496 4.2496 4.5315
angles (deg): 90.00 90.00 90.00
Closest atoms and distances in Å follow each position.
Sites, in units of the cell vectors:
Re1 0.0000 0.0000 0.0000  4 Sb 3.00, 8 Cl 3.11
Sb1 0.5000 0.5000 0.0000  4 Re 3.00, 8 Cl 3.11
Cl1 0.0000 0.5000 0.5000  4 Cl 3.00, 4 Re 3.11, 4 Sb 3.11
Cl2 0.5000 0.0000 0.5000  4 Cl 3.00, 4 Re 3.11, 4 Sb 3.11

=====

No. 9
This record from the Alexandria database describes an optimized crystal structure of Cs2WBr6. The functional is GGA-PBEsol.

Summary:
- SG: Fm-3m (225)
- Formation energy from raw total energies: -1.0886 eV per atom

a b c (Å): 7.4947 7.4947 7.4947
angles (deg): 60.00 60.00 60.00
Closest atoms and distances in Å follow each position.
Sites, in units of the cell vectors:
Cs1 0.2500 0.2500 0.2500  12 Br 3.75
Cs2 0.7500 0.7500 0.7500  12 Br 3.75
W1 0.0000 0.0000 0.0000  6 Br 2.53
Br1 0.2385 0.2385 0.7615  1 W 2.53
Br2 0.2385 0.7615 0.2385  1 W 2.53
Br3 0.2385 0.7615 0.7615  1 W 2.53
Br4 0.7615 0.2385 0.2385  1 W 2.53
Br5 0.7615 0.2385 0.7615  1 W 2.53
Br6 0.7615 0.7615 0.2385  1 W 2.53

=====

No. 10
This record from the Alexandria database describes an optimized crystal structure of CuSbMo2. The functional is GGA-PBEsol.

Summary:
- SG: I-4m2 (119)
- Formation energy from raw total energies: 0.2836 eV per atom

a b c (Å): 4.7847 4.7847 4.7847
angles (deg): 130.33 130.33 72.89
Closest atoms and distances in Å follow each position.
Sites, in units of the cell vectors:
Cu1 0.0000 0.0000 0.0000  8 Mo 2.78-2.84, 4 Sb 2.78
Sb1 0.2500 0.7500 0.5000  8 Mo 2.78-2.84, 4 Cu 2.78
Mo1 0.5000 0.5000 0.0000  4 Mo 2.78, 4 Sb 2.78, 4 Cu 2.84
Mo2 0.7500 0.2500 0.5000  4 Mo 2.78, 4 Cu 2.78, 4 Sb 2.84

=====

No. 11
This record from the Alexandria database describes an optimized crystal structure of CuReP2. The functional is GGA-PBEsol.

Summary:
- Excess energy over the best structure of this formula in the dataset: 0.063 eV/atom
- ΔH_f (0 K): 0.0568 eV per atom
- SG: Pmm2 (25)

a b c (Å): 2.9939 3.6399 4.8062
angles (deg): 90.00 90.00 90.00
Closest atoms and distances in Å follow each position.
Sites, in units of the cell vectors:
Cu1 0.0000 0.0000 0.0000  6 P 2.38-2.46
Re1 0.5000 0.5000 0.6519  6 P 2.39-2.47
P1 0.0000 0.0000 0.4958  2 Cu 2.38-2.42, 4 Re 2.47
P2 0.5000 0.5000 0.1495  2 Re 2.39-2.41, 4 Cu 2.46

=====

No. 12
This record from the Alexandria database describes an optimized crystal structure of Ho4C5. The functional is GGA-PBEsol.

Summary:
- ΔH_f (0 K): -0.3763 eV per atom
- SG: Pbam (55)

a b c (Å): 6.4560 11.8075 3.5871
angles (deg): 90.00 90.00 90.00
Closest atoms and distances in Å follow each position.
Sites, in units of the cell vectors:
Ho1 0.1077 0.1962 0.0000  7 C 2.42-2.67
Ho2 0.2450 0.9581 0.5000  5 C 2.37-2.63
Ho3 0.2550 0.4581 0.5000  5 C 2.37-2.63
Ho4 0.3923 0.6962 0.0000  7 C 2.42-2.67
Ho5 0.6077 0.3038 0.0000  7 C 2.42-2.67
Ho6 0.7450 0.5419 0.5000  5 C 2.37-2.63
Ho7 0.7550 0.0419 0.5000  5 C 2.37-2.63
Ho8 0.8923 0.8038 0.0000  7 C 2.42-2.67
C1 0.0000 0.0000 0.0000  6 Ho 2.42-2.44
C2 0.0961 0.6556 0.5000  1 C 1.33
C3 0.1399 0.7661 0.5000  1 C 1.33
C4 0.3601 0.2661 0.5000  1 C 1.33
C5 0.4039 0.1556 0.5000  1 C 1.33
C6 0.5000 0.5000 0.0000  6 Ho 2.42-2.44
C7 0.5961 0.8444 0.5000  1 C 1.33
C8 0.6399 0.7339 0.5000  1 C 1.33
C9 0.8601 0.2339 0.5000  1 C 1.33
C10 0.9039 0.3444 0.5000  1 C 1.33

=====

No. 13
This record from the Alexandria database describes an optimized crystal structure of Te2IrCl2. The functional is GGA-PBEsol.

Summary:
- SG: I4/mmm (139)
- Formation energy from raw total energies: 1.1398 eV per atom

a b c (Å): 9.8517 9.8517 9.8517
angles (deg): 157.20 157.20 32.46
Closest atoms and distances in Å follow each position.
Sites, in units of the cell vectors:
Te1 0.2500 0.7500 0.5000  4 Te 2.75
Te2 0.7500 0.2500 0.5000  4 Te 2.75
Ir1 0.0000 0.0000 0.0000  8 Cl 3.11
Cl1 0.4231 0.4231 0.0000  1 Cl 2.91, 4 Ir 3.11
Cl2 0.5769 0.5769 0.0000  1 Cl 2.91, 4 Ir 3.11

=====

Q: Which magnetic moment values were calculated for the entries above? A: 0.00, 0.00, 0.00, 0.00, 3.49, 0.00, 2.81, 3.70, 2.00, 0.00, 0.00, 0.00, 2.78, in μB per formula unit.